[1]
# Cr2CoNi, PBEsol geometry, DFT SCAN
data_Cr2CoNi
_chemical_formula_sum 'Cr2 Co1 Ni1'
_cell_length_a 2.435
_cell_length_b 3.969
_cell_length_c 4.348
_cell_angle_alpha 90.00
_cell_angle_beta 90.00
_cell_angle_gamma 90.00
_space_group_name_H-M_alt 'P 1'
_space_group_IT_number 1
loop_
_space_group_symop_operation_xyz
'x,y,z'
loop_
_atom_site_label
_atom_site_type_symbol
_atom_site_fract_x
_atom_site_fract_y
_atom_site_fract_z
_atom_site_occupancy
Cr1 Cr 0.000 0.000 0.000 1
Cr2 Cr 0.000 0.500 0.335 1
Co1 Co 0.500 0.000 0.502 1
Ni1 Ni 0.500 0.500 0.832 1
# total magnetic moment = 0.00 μB per atom
# calculated formation energy = 11.6 kJ/mol of atoms
# mass density = 8.8 g/cm³



[2]
# SrCo2As2O8, PBEsol geometry, DFT SCAN
data_SrCo2As2O8
_chemical_formula_sum 'Sr2 Co4 As4 O16'
_cell_length_a 5.594
_cell_length_b 7.038
_cell_length_c 9.351
_cell_angle_alpha 107.35
_cell_angle_beta 105.35
_cell_angle_gamma 98.84
_space_group_name_H-M_alt 'P 1'
_space_group_IT_number 1
loop_
_space_group_symop_operation_xyz
'x,y,z'
loop_
_atom_site_label
_atom_site_type_symbol
_atom_site_fract_x
_atom_site_fract_y
_atom_site_fract_z
_atom_site_occupancy
Sr1 Sr 0.199 0.240 0.450 1
Sr2 Sr 0.801 0.760 0.550 1
Co1 Co 0.055 0.826 0.945 1
Co2 Co 0.323 0.232 0.854 1
Co3 Co 0.677 0.768 0.146 1
Co4 Co 0.945 0.174 0.055 1
As1 As 0.158 0.672 0.252 1
As2 As 0.439 0.777 0.795 1
As3 As 0.561 0.223 0.205 1
As4 As 0.842 0.328 0.748 1
O1 O 0.048 0.322 0.923 1
O2 O 0.063 0.840 0.386 1
O3 O 0.095 0.428 0.255 1
O4 O 0.223 0.932 0.798 1
O5 O 0.250 0.069 0.147 1
O6 O 0.371 0.621 0.606 1
O7 O 0.406 0.679 0.939 1
O8 O 0.481 0.758 0.287 1
O9 O 0.519 0.242 0.713 1
O10 O 0.594 0.321 0.061 1
O11 O 0.629 0.379 0.394 1
O12 O 0.750 0.931 0.853 1
O13 O 0.777 0.068 0.202 1
O14 O 0.905 0.572 0.745 1
O15 O 0.937 0.160 0.614 1
O16 O 0.952 0.678 0.077 1
# total magnetic moment = 0.46 μB per atom
# raw formation energy = -1.71 eV/atom
# mass density = 4.9 g/cm³



[3]
# Li27Sb10, PBEsol geometry, DFT SCAN
data_Li27Sb10
_chemical_formula_sum 'Li27 Sb10'
_cell_length_a 12.121
_cell_length_b 12.121
_cell_length_c 7.874
_cell_angle_alpha 96.02
_cell_angle_beta 96.02
_cell_angle_gamma 142.09
_space_group_name_H-M_alt 'P 1'
_space_group_IT_number 1
loop_
_space_group_symop_operation_xyz
'x,y,z'
loop_
_atom_site_label
_atom_site_type_symbol
_atom_site_fract_x
_atom_site_fract_y
_atom_site_fract_z
_atom_site_occupancy
Li1 Li 0.000 0.000 0.000 1
Li2 Li 0.010 0.223 0.881 1
Li3 Li 0.088 0.686 0.649 1
Li4 Li 0.102 0.898 0.500 1
Li5 Li 0.148 0.148 0.385 1
Li6 Li 0.155 0.566 0.114 1
Li7 Li 0.223 0.010 0.881 1
Li8 Li 0.289 0.471 0.617 1
Li9 Li 0.304 0.696 0.500 1
Li10 Li 0.314 0.912 0.351 1
Li11 Li 0.388 0.388 0.145 1
Li12 Li 0.397 0.603 0.000 1
Li13 Li 0.434 0.845 0.886 1
Li14 Li 0.471 0.289 0.617 1
Li15 Li 0.529 0.711 0.383 1
Li16 Li 0.566 0.155 0.114 1
Li17 Li 0.603 0.397 0.000 1
Li18 Li 0.612 0.612 0.855 1
Li19 Li 0.686 0.088 0.649 1
Li20 Li 0.696 0.304 0.500 1
Li21 Li 0.711 0.529 0.383 1
Li22 Li 0.777 0.990 0.119 1
Li23 Li 0.845 0.434 0.886 1
Li24 Li 0.852 0.852 0.615 1
Li25 Li 0.898 0.102 0.500 1
Li26 Li 0.912 0.314 0.351 1
Li27 Li 0.990 0.777 0.119 1
Sb1 Sb 0.064 0.454 0.735 1
Sb2 Sb 0.152 0.354 0.248 1
Sb3 Sb 0.234 0.234 0.762 1
Sb4 Sb 0.354 0.152 0.248 1
Sb5 Sb 0.454 0.064 0.735 1
Sb6 Sb 0.546 0.936 0.265 1
Sb7 Sb 0.646 0.848 0.752 1
Sb8 Sb 0.766 0.766 0.238 1
Sb9 Sb 0.848 0.646 0.752 1
Sb10 Sb 0.936 0.546 0.265 1
# total magnetic moment = 0.00 μB per atom
# raw formation energy = -0.64 eV/atom
# mass density = 3.5 g/cm³



[4]
# CoMoIr2, PBEsol geometry, DFT SCAN
data_CoMoIr2
_chemical_formula_sum 'Co1 Mo1 Ir2'
_cell_length_a 2.703
_cell_length_b 3.709
_cell_length_c 5.378
_cell_angle_alpha 90.00
_cell_angle_beta 90.00
_cell_angle_gamma 90.00
_space_group_name_H-M_alt 'P 1'
_space_group_IT_number 1
loop_
_space_group_symop_operation_xyz
'x,y,z'
loop_
_atom_site_label
_atom_site_type_symbol
_atom_site_fract_x
_atom_site_fract_y
_atom_site_fract_z
_atom_site_occupancy
Co1 Co 0.000 0.000 0.000 1
Mo1 Mo 0.000 0.000 0.500 1
Ir1 Ir 0.500 0.500 0.239 1
Ir2 Ir 0.500 0.500 0.761 1
# total magnetic moment = 0.50 μB per atom
# calculated formation energy = -19.5 kJ/mol of atoms
# mass density = 16.6 g/cm³